! LaAlPt3, optimized geometry, DFT PBE; values from VASP
&SYSTEM
  ibrav = 0, nat = 5, ntyp = 3
/
ATOMIC_SPECIES
Al 26.98 Al.upf
Pt 195.08 Pt.upf
La 138.91 La.upf
CELL_PARAMETERS angstrom
-3.026 -3.576 0.567
0.802 0.058 4.649
-3.530 3.078 0.570
ATOMIC_POSITIONS crystal
Al 0.000 0.000 0.000
Pt 0.500 0.000 0.000
Pt 0.000 0.000 0.500
Pt 0.000 0.500 0.000
La 0.500 0.500 0.500
! Energy of formation from the pure elements, meV per atom: -679
! SG: Pm-3m



! InCuW2, optimized geometry, DFT PBE; values from VASP
&SYSTEM
  ibrav = 0, nat = 4, ntyp = 3
/
ATOMIC_SPECIES
W 183.84 W.upf
Cu 63.55 Cu.upf
In 114.82 In.upf
CELL_PARAMETERS angstrom
5.298 0.009 -0.031
-2.578 4.628 -0.031
0.334 0.569 2.670
ATOMIC_POSITIONS crystal
W 0.500 0.500 0.000
W 0.000 0.000 0.000
Cu 0.500 0.000 0.500
In 0.000 0.500 0.500
! Energy of formation from the pure elements, meV per atom: 525
! SG: C2/m



! Ho2Er5Fe2, optimized geometry, DFT PBE; values from VASP
&SYSTEM
  ibrav = 0, nat = 18, ntyp = 3
/
ATOMIC_SPECIES
Fe 55.84 Fe.upf
Er 167.26 Er.upf
Ho 164.93 Ho.upf
CELL_PARAMETERS angstrom
6.551 0.000 2.378
0.000 6.919 0.000
-0.071 0.000 10.406
ATOMIC_POSITIONS crystal
Fe 0.110 0.394 0.000
Fe 0.610 0.106 0.000
Fe 0.390 0.894 0.000
Fe 0.890 0.606 0.000
Er 0.710 0.321 0.215
Er 0.290 0.679 0.785
Er 0.000 0.000 0.000
Er 0.790 0.821 0.785
Er 0.500 0.500 0.000
Er 0.426 0.179 0.785
Er 0.074 0.679 0.215
Er 0.210 0.179 0.215
Er 0.926 0.321 0.785
Er 0.574 0.821 0.215
Ho 0.733 0.500 0.533
Ho 0.767 0.000 0.467
Ho 0.233 0.000 0.533
Ho 0.267 0.500 0.467
! Energy of formation from the pure elements, meV per atom: 38
! SG: Cmce



! NbAsPb3, optimized geometry, DFT PBE; values from VASP
&SYSTEM
  ibrav = 0, nat = 5, ntyp = 3
/
ATOMIC_SPECIES
As 74.92 As.upf
Pb 207.20 Pb.upf
Nb 92.91 Nb.upf
CELL_PARAMETERS angstrom
5.520 0.000 0.000
0.000 5.520 0.000
0.000 0.000 5.520
ATOMIC_POSITIONS crystal
As 0.500 0.500 0.500
Pb 0.500 0.000 0.000
Pb 0.000 0.000 0.500
Pb 0.000 0.500 0.000
Nb 0.000 0.000 0.000
! Energy of formation from the pure elements, meV per atom: 755
! SG: Pm-3m



! Zn2RhW, optimized geometry, DFT PBE; values from VASP
&SYSTEM
  ibrav = 0, nat = 4, ntyp = 3
/
ATOMIC_SPECIES
W 183.84 W.upf
Zn 65.41 Zn.upf
Rh 102.91 Rh.upf
CELL_PARAMETERS angstrom
2.801 0.000 0.000
0.000 3.722 0.000
0.000 0.000 5.650
ATOMIC_POSITIONS crystal
W 0.500 0.500 0.735
Zn 0.000 0.000 0.012
Zn 0.500 0.500 0.241
Rh 0.000 0.000 0.511
! Energy of formation from the pure elements, meV per atom: -23
! SG: Pmm2



! MgSbTe2P, optimized geometry, DFT PBE; values from VASP
&SYSTEM
  ibrav = 0, nat = 5, ntyp = 4
/
ATOMIC_SPECIES
Te 127.60 Te.upf
P 30.97 P.upf
Sb 121.76 Sb.upf
Mg 24.30 Mg.upf
CELL_PARAMETERS angstrom
5.317 0.000 0.000
0.000 5.317 0.000
0.000 0.000 5.374
ATOMIC_POSITIONS crystal
Te 0.000 0.500 0.000
Te 0.500 0.000 0.000
P 0.500 0.500 0.500
Sb 0.000 0.000 0.500
Mg 0.000 0.000 0.000
! Formation energy without anion corrections, eV per atom: 0.8102
! SG: P4/mmm



! Nb2Os3Pt2, optimized geometry, DFT PBE; values from VASP
&SYSTEM
  ibrav = 0, nat = 14, ntyp = 3
/
ATOMIC_SPECIES
Os 190.23 Os.upf
Nb 92.91 Nb.upf
Pt 195.08 Pt.upf
CELL_PARAMETERS angstrom
6.364 0.000 -2.250
-3.182 5.511 -2.250
0.000 0.000 6.750
ATOMIC_POSITIONS crystal
Os 0.750 0.517 0.267
Os 0.483 0.233 0.750
Os 0.733 0.750 0.983
Os 0.250 0.983 0.233
Os 0.767 0.250 0.517
Os 0.017 0.267 0.250
Nb 0.500 0.465 0.500
Nb 0.000 0.000 0.465
Nb 0.965 0.500 0.000
Nb 0.535 0.035 0.035
Pt 0.500 0.844 0.500
Pt 0.156 0.656 0.656
Pt 0.000 0.000 0.844
Pt 0.344 0.500 0.000
! Energy of formation from the pure elements, meV per atom: 167
! SG: I2_13



! CdRuRh, optimized geometry, DFT PBE; values from VASP
&SYSTEM
  ibrav = 0, nat = 6, ntyp = 3
/
ATOMIC_SPECIES
Ru 101.07 Ru.upf
Rh 102.91 Rh.upf
Cd 112.41 Cd.upf
CELL_PARAMETERS angstrom
2.721 0.039 -0.670
0.021 3.819 0.311
-3.279 -0.801 10.056
ATOMIC_POSITIONS crystal
Ru 0.880 0.750 0.064
Ru 0.120 0.250 0.936
Rh 0.695 0.250 0.223
Rh 0.305 0.750 0.777
Cd 0.460 0.250 0.605
Cd 0.540 0.750 0.395
! Energy of formation from the pure elements, meV per atom: 79
! SG: Pmmn



Size of the total moment across the listed records, respectively: 0.00, 0.00, 1.28, 2.84, 0.00, 0.00, 0.00, 0.00 μB/f.u..